(1)
This record from Alexandria via LeMat-Bulk describes an optimized crystal structure of K2YTl. The functional is GGA-PBE.

```
4
Lattice="7.8270 0.0055 -0.0020 3.9514 6.7564 0.0020 -4.8776 -5.1432 3.3196" Properties=species:S:1:pos:R:3 pbc="T T T"
Tl 5.6780 3.2596 0.0000
Y 3.1250 2.8665 1.6608
K 3.9314 -1.1585 1.6588
K 0.0557 0.0320 0.0000
```

As for the space-group type: Imm2, No. 44. The calculation puts the formation energy at 218 meV/atom. The excess energy over the best structure of this formula in the dataset comes out at 177 meV per atom.


(2)
This record from Alexandria via LeMat-Bulk describes an optimized crystal structure of K2YTl. The functional is GGA-PBE.

```
8
Lattice="10.4196 0.0000 0.0000 0.0000 10.4196 0.0000 5.2098 5.2098 3.2034" Properties=species:S:1:pos:R:3 pbc="T T T"
K 8.3750 2.6049 0.8009
K 2.0446 7.8147 0.8009
K 13.0245 13.5848 2.4026
K 7.8147 7.2544 2.4026
Tl 0.0000 0.0000 0.0000
Tl 10.4196 5.2098 1.6017
Y 5.2098 10.4196 1.6017
Y 5.2098 5.2098 0.0000
```

As for the space-group type: I-42d, No. 122. The calculation puts the formation energy at 391 meV/atom. The excess energy over the best structure of this formula in the dataset comes out at 350 meV per atom.


(3)
This record from Alexandria via LeMat-Bulk describes an optimized crystal structure of KY2Tl. The functional is GGA-PBE.

```
4
Lattice="12.4019 0.0009 0.0005 11.8674 3.6015 0.0005 11.8674 1.7615 3.1413" Properties=species:S:1:pos:R:3 pbc="T T T"
Tl 26.8442 3.9846 2.3343
Y 0.1577 0.0234 0.0137
Y 9.4137 1.3973 0.8186
K 17.7895 2.6405 1.5469
```

As for the space-group type: R3m, No. 160. The calculation puts the formation energy at 71 meV/atom. The excess energy over the best structure of this formula in the dataset comes out at 36 meV per atom.


(4)
This record from Alexandria via LeMat-Bulk describes an optimized crystal structure of K2YTl. The functional is GGA-PBE.

```
4
Lattice="-2.8697 0.4086 -2.1615 0.4544 -3.3897 1.1737 -7.6580 2.6685 10.6715" Properties=species:S:1:pos:R:3 pbc="T T T"
Tl -3.1221 -0.8234 2.1740
K -3.7031 1.2904 5.1604
K -0.1259 0.0439 0.1754
Y -6.9511 0.5108 7.5098
```

As for the space-group type: Cmmm, No. 65. The calculation puts the formation energy at 285 meV/atom. The excess energy over the best structure of this formula in the dataset comes out at 244 meV per atom.


(5)
This record from Alexandria via LeMat-Bulk describes an optimized crystal structure of K2YTl. The functional is GGA-PBE.

```
4
Lattice="-6.5005 2.6863 2.0228 -5.3611 -3.8999 3.1008 7.1805 1.3244 0.5013" Properties=species:S:1:pos:R:3 pbc="T T T"
K -5.9308 -0.6068 2.5618
K 0.0000 0.0000 0.0000
Tl -2.0557 -1.5912 3.0820
Y -2.6254 1.7020 2.5430
```

As for the space-group type: I4/mmm, No. 139. The calculation puts the formation energy at 225 meV/atom. The excess energy over the best structure of this formula in the dataset comes out at 184 meV per atom.


(6)
This record from Alexandria via LeMat-Bulk describes an optimized crystal structure of KY2Tl. The functional is GGA-PBE.

```
8
Lattice="-4.6989 -0.6885 -0.8477 0.8631 -4.6356 -1.0189 -3.5792 -5.5025 10.5821" Properties=species:S:1:pos:R:3 pbc="T T T"
Y -4.1440 -6.0096 7.2616
Y -6.0196 -8.8993 6.2782
Y -0.8274 -4.3420 1.9235
Y -3.8391 -2.4023 1.9675
Tl 0.0000 0.0000 0.0000
Tl -5.0980 -4.4265 4.4005
K -1.9179 -2.6621 -0.9333
K -2.3170 -6.4001 4.3149
```

As for the space-group type: I-42d, No. 122. The calculation puts the formation energy at 401 meV/atom. The excess energy over the best structure of this formula in the dataset comes out at 366 meV per atom.


no.,VASP energy (eV per cell)
1,-10.15
2,-18.92
3,-16.11
4,-9.88
5,-10.12
6,-29.58